# 1
Below is an optimized crystal structure of Sr2GeO4, with properties calculated at the GGA-PBEsol level.

```
Sr2GeO4
1.0
-2.1034 -4.1796 3.4696
5.8877 0.4508 4.1124
-4.1023 7.4456 5.0569
Sr Ge O
8 4 16
Direct
0.2725 0.6526 0.5704 Sr
0.2275 0.1526 0.9296 Sr
0.7275 0.3474 0.4296 Sr
0.7725 0.8474 0.0704 Sr
0.2817 0.0029 0.2998 Sr
0.2183 0.5029 0.2002 Sr
0.7183 0.9971 0.7002 Sr
0.7817 0.4971 0.7998 Sr
0.2348 0.2167 0.5819 Ge
0.2652 0.7167 0.9181 Ge
0.7652 0.7833 0.4181 Ge
0.7348 0.2833 0.0819 Ge
0.2867 0.9807 0.5595 O
0.2133 0.4807 0.9405 O
0.7133 0.0193 0.4405 O
0.7867 0.5193 0.0595 O
0.1570 0.3305 0.4242 O
0.3430 0.8305 0.0758 O
0.8430 0.6695 0.5758 O
0.6570 0.1695 0.9242 O
0.4965 0.3316 0.6373 O
0.0035 0.8316 0.8627 O
0.5035 0.6684 0.3627 O
0.9965 0.1684 0.1373 O
0.0188 0.2511 0.6938 O
0.4812 0.7511 0.8062 O
0.9812 0.7489 0.3062 O
0.5188 0.2489 0.1938 O
```

Values from the calculation:
Crystal system: monoclinic
Density of states at the Fermi level: 0.00 states/eV per atom
Magnetic moment: 0.0 μB per formula unit
Symmetry: P2_1/c
Density: 5.0 g/cm³
Energy relative to the elements, uncorrected: -2.554 eV per atom



# 2
Below is an optimized crystal structure of KTaCr, with properties calculated at the GGA-PBEsol level.

```
KTaCr
1.0
-2.7475 0.3902 0.8910
0.7755 -2.7999 -0.2321
3.4384 1.2593 7.2089
Cr K Ta
1 1 1
Direct
0.0243 0.0243 0.0486 Cr
0.3397 0.3397 0.6794 K
0.6360 0.6360 0.2720 Ta
```

Values from the calculation:
Crystal system: orthorhombic
Density of states at the Fermi level: 0.97 states/eV per atom
DFT formation energy: 1037 meV per atom
Magnetic moment: 0.0 μB per formula unit
Symmetry: Fmm2
Density: 7.3 g/cm³
Polymorph energy (0 for the lowest one): 0.000 eV per atom



# 3
Below is an optimized crystal structure of TlSnIr2, with properties calculated at the GGA-PBEsol level.

```
TlSnIr2
1.0
4.6115 0.0000 0.0000
2.3057 3.9937 0.0000
2.3057 1.3312 3.7653
Tl Ir Sn
1 2 1
Direct
0.5000 0.5000 0.5000 Tl
0.2500 0.2500 0.2500 Ir
0.7500 0.7500 0.7500 Ir
0.0000 0.0000 0.0000 Sn
```

Values from the calculation:
Crystal system: cubic
Density of states at the Fermi level: 1.10 states/eV per atom
DFT formation energy: 337 meV per atom
Magnetic moment: 0.0 μB per formula unit
Symmetry: Fm-3m
Density: 16.9 g/cm³



# 4
Below is an optimized crystal structure of V2P2O9, with properties calculated at the GGA-PBEsol level.

```
V2P2O9
1.0
-4.7079 -4.0520 -0.5734
4.5845 -4.7723 -3.9174
3.7326 -5.9872 11.6620
V P O
8 8 36
Direct
0.2500 0.8423 0.3793 V
0.7500 0.1577 0.6207 V
0.7500 0.3423 0.1207 V
0.2500 0.6577 0.8793 V
0.0000 0.5000 0.5000 V
0.0000 0.0000 0.0000 V
0.5000 0.0000 0.0000 V
0.5000 0.5000 0.5000 V
0.7500 0.8484 0.4420 P
0.2500 0.1516 0.5580 P
0.2500 0.3484 0.0580 P
0.7500 0.6516 0.9420 P
0.2500 0.9131 0.1962 P
0.2500 0.5869 0.6962 P
0.7500 0.4131 0.3038 P
0.7500 0.0869 0.8038 P
0.5511 0.0669 0.8709 O
0.0511 0.9331 0.1291 O
0.4489 0.5669 0.6291 O
0.9489 0.4331 0.3709 O
0.4489 0.9331 0.1291 O
0.9489 0.0669 0.8709 O
0.5511 0.4331 0.3709 O
0.0511 0.5669 0.6291 O
0.7500 0.8348 0.9951 O
0.2500 0.1652 0.0049 O
0.2500 0.3348 0.5049 O
0.7500 0.6652 0.4951 O
0.2500 0.6455 0.4544 O
0.7500 0.3545 0.5456 O
0.7500 0.1455 0.0456 O
0.2500 0.8545 0.9544 O
0.2500 0.7359 0.2520 O
0.7500 0.2641 0.7480 O
0.7500 0.2359 0.2480 O
0.2500 0.7641 0.7520 O
0.9492 0.6492 0.8776 O
0.4492 0.3508 0.1224 O
0.0508 0.1492 0.6224 O
0.5508 0.8508 0.3776 O
0.0508 0.3508 0.1224 O
0.5508 0.6492 0.8776 O
0.9492 0.8508 0.3776 O
0.4492 0.1492 0.6224 O
0.2500 0.0060 0.4831 O
0.7500 0.5401 0.2169 O
0.7500 0.9599 0.7169 O
0.2500 0.0401 0.2831 O
0.2500 0.4940 0.9831 O
0.7500 0.5060 0.0169 O
0.7500 0.9940 0.5169 O
0.2500 0.4599 0.7831 O
```

Values from the calculation:
Crystal system: orthorhombic
Density of states at the Fermi level: 0.36 states/eV per atom
Magnetic moment: 2.0 μB per formula unit
Symmetry: Pnma
Density: 3.1 g/cm³
Energy relative to the elements, uncorrected: -2.214 eV per atom
Polymorph energy (0 for the lowest one): 0.023 eV per atom



# 5
Below is an optimized crystal structure of PmCd3, with properties calculated at the GGA-PBEsol level.

```
PmCd3
1.0
-4.5247 1.8145 0.3543
-2.4088 -5.4357 -2.9247
0.6053 0.2220 6.5945
Pm Cd
2 6
Direct
0.2500 0.6667 0.3333 Pm
0.7500 0.3333 0.6667 Pm
0.7500 0.8410 0.1590 Cd
0.7500 0.8410 0.6820 Cd
0.7500 0.3180 0.1590 Cd
0.2500 0.1590 0.8410 Cd
0.2500 0.1590 0.3180 Cd
0.2500 0.6820 0.8410 Cd
```

Values from the calculation:
Crystal system: hexagonal
Density of states at the Fermi level: 0.57 states/eV per atom
DFT formation energy: -330 meV per atom
Magnetic moment: 0.0 μB per formula unit
Symmetry: P6_3/mmc
Density: 8.6 g/cm³



# 6
Below is an optimized crystal structure of ZrPt3, with properties calculated at the GGA-PBEsol level.

```
ZrPt3
1.0
4.9256 0.0000 0.0000
0.0000 4.9256 0.0000
0.0000 0.0000 4.9256
Pt Zr
3 1
Direct
0.0000 0.0000 0.5000 Pt
0.0000 0.5000 0.0000 Pt
0.5000 0.0000 0.0000 Pt
0.0000 0.0000 0.0000 Zr
```

Values from the calculation:
Crystal system: cubic
Density of states at the Fermi level: 0.66 states/eV per atom
DFT formation energy: 1389 meV per atom
Magnetic moment: 0.0 μB per formula unit
Symmetry: Pm-3m
Density: 9.4 g/cm³



# 7
Below is an optimized crystal structure of InPt, with properties calculated at the GGA-PBEsol level.

```
InPt
1.0
4.4313 0.0000 0.0000
2.2156 6.5549 0.0110
2.2156 2.4188 6.3576
In Pt
5 5
Direct
0.5000 0.5000 0.5000 In
0.8505 0.4540 0.8451 In
0.1495 0.5460 0.1549 In
0.6272 0.9866 0.7591 In
0.3728 0.0134 0.2409 In
0.0000 0.0000 0.0000 Pt
0.7409 0.2532 0.2650 Pt
0.2591 0.7468 0.7350 Pt
0.8905 0.7755 0.4435 Pt
0.1095 0.2245 0.5565 Pt
```

Values from the calculation:
Crystal system: monoclinic
Density of states at the Fermi level: 0.31 states/eV per atom
DFT formation energy: -474 meV per atom
Magnetic moment: 0.0 μB per formula unit
Symmetry: C2/m
Density: 13.9 g/cm³



# 8
Below is an optimized crystal structure of Sc2SnBr2, with properties calculated at the GGA-PBEsol level.

```
Sc2SnBr2
1.0
4.2591 0.0000 0.0000
0.0000 4.2591 0.0000
-2.1296 -2.1296 6.6179
Sc Sn Br
2 1 2
Direct
0.3821 0.3821 0.7643 Sc
0.6179 0.6179 0.2357 Sc
0.0000 0.0000 0.0000 Sn
0.2500 0.7500 0.5000 Br
0.7500 0.2500 0.5000 Br
```

Values from the calculation:
Crystal system: tetragonal
Density of states at the Fermi level: 0.69 states/eV per atom
Magnetic moment: 0.3 μB per formula unit
Symmetry: I4/mmm
Density: 5.1 g/cm³
Energy relative to the elements, uncorrected: -0.735 eV per atom